Entry 1:
A plane-wave DFT calculation with PBE was carried out for YPt2W after structural relaxation.

Cell: 6.5637 6.5637 6.5637 Å, 90.00 90.00 90.00°
Fractional coordinates of all 16 atoms:
1 Y 0.0000 0.0000 0.0000
2 Y 0.0000 0.5000 0.5000
3 Y 0.5000 0.0000 0.5000
4 Y 0.5000 0.5000 0.0000
5 Pt 0.0000 0.0000 0.5000
6 Pt 0.0000 0.5000 0.0000
7 Pt 0.2500 0.2500 0.7500
8 Pt 0.2500 0.7500 0.2500
9 Pt 0.5000 0.0000 0.0000
10 Pt 0.5000 0.5000 0.5000
11 Pt 0.7500 0.2500 0.2500
12 Pt 0.7500 0.7500 0.7500
13 W 0.2500 0.2500 0.2500
14 W 0.2500 0.7500 0.7500
15 W 0.7500 0.2500 0.7500
16 W 0.7500 0.7500 0.2500

Raw total energy ... -7.905 eV per atom
Crystal system ... cubic
Total magnetization ... 0.9 μB/f.u.

***

Entry 2:
A plane-wave DFT calculation with PBE was carried out for ZnPt6W after structural relaxation.

Cell: 3.9637 3.9637 7.8619 Å, 90.00 90.00 90.00°
Fractional coordinates of all 8 atoms:
1 Zn 0.0000 0.0000 0.0000
2 Pt 0.0000 0.5000 0.2558
3 Pt 0.0000 0.5000 0.7442
4 Pt 0.5000 0.0000 0.2558
5 Pt 0.5000 0.0000 0.7442
6 Pt 0.5000 0.5000 0.0000
7 Pt 0.5000 0.5000 0.5000
8 W 0.0000 0.0000 0.5000

Raw total energy ... -6.660 eV per atom
Crystal system ... tetragonal
Total magnetization ... 0.1 μB/f.u.

***

Entry 3:
A plane-wave DFT calculation with PBE was carried out for ZnPtW2 after structural relaxation.

Cell: 6.2997 6.2997 6.2997 Å, 90.00 90.00 90.00°
Fractional coordinates of all 16 atoms:
1 Zn 0.0000 0.0000 0.0000
2 Zn 0.0000 0.5000 0.5000
3 Zn 0.5000 0.0000 0.5000
4 Zn 0.5000 0.5000 0.0000
5 Pt 0.2500 0.2500 0.2500
6 Pt 0.2500 0.7500 0.7500
7 Pt 0.7500 0.2500 0.7500
8 Pt 0.7500 0.7500 0.2500
9 W 0.0000 0.0000 0.5000
10 W 0.0000 0.5000 0.0000
11 W 0.2500 0.2500 0.7500
12 W 0.2500 0.7500 0.2500
13 W 0.5000 0.0000 0.0000
14 W 0.5000 0.5000 0.5000
15 W 0.7500 0.2500 0.2500
16 W 0.7500 0.7500 0.7500

Raw total energy ... -8.133 eV per atom
Crystal system ... cubic
Total magnetization ... 0.0 μB/f.u.

***

Among the records above, which one has the lowest raw total energy? ZnPtW2

***

The lowest total magnetization belongs to which entry? ZnPtW2

***

The lowest total magnetization belongs to which entry? ZnPtW2